Record 1
The following is a PBE calculation of Sr2CaTcO6 after structural relaxation, from Alexandria.

POSCAR file:
```
Sr2CaTcO6
1.0
-1.525 5.447 1.220
-1.453 0.865 -5.676
-7.679 -2.553 1.576
Sr Ca Tc O
4 2 2 12
Direct
0.010 0.954 0.251
0.510 0.546 0.751
0.990 0.046 0.749
0.490 0.454 0.249
0.500 0.000 0.000
0.000 0.500 0.500
0.500 0.000 0.500
0.000 0.500 0.000
0.270 0.688 0.040
0.770 0.812 0.540
0.730 0.312 0.960
0.230 0.188 0.460
0.316 0.731 0.453
0.816 0.769 0.953
0.684 0.269 0.547
0.184 0.231 0.047
0.918 0.526 0.228
0.418 0.974 0.728
0.082 0.474 0.772
0.582 0.026 0.272
```

Summary:
Calculated density ... 4.81 Mg/m³
DFT total energy ... -138.82 eV per cell
Uncorrected formation energy ... -2309 kJ/mol of formula units
Crystal system ... monoclinic
Space group ... P2_1/c (14)

Record 2
The following is a PBE calculation of Sr2CaTcO after structural relaxation, from Alexandria.

POSCAR file:
```
Sr2CaTcO
1.0
-2.395 5.787 -1.868
-3.746 -1.200 1.086
0.991 2.352 6.016
Sr Ca Tc O
2 1 1 1
Direct
0.000 0.000 0.500
0.500 0.000 0.000
0.000 0.000 0.000
0.500 0.500 0.500
0.000 0.500 0.000
```

Summary:
Calculated density ... 3.14 Mg/m³
ΔE to the lowest computed polymorph ... 0.0000 eV/atom
DFT total energy ... -18.70 eV per cell
Uncorrected formation energy ... 192 kJ/mol of formula units
Crystal system ... tetragonal
Space group ... P4/mmm (123)

- The lowest calculated density belongs to which entry?
  Sr2CaTcO